# 1
Crystalline CoSb2SI at its relaxed geometry, computed with PBE-GGA.

Values from the calculation:
The value obtained for the volume is 24.9 Å³ per atom. Its uncorrected formation energy is 0.5102 eV/atom.

Unit cell a=4.946 b=4.946 c=5.080 alpha=90.00 beta=90.00 gamma=90.00
Space group P4/mmm (No. 123)
Symmetry-distinct sites (fractional):
Co (0.000, 0.000, 0.000) [1 per cell]
Sb (0.000, 0.500, 0.000) [2 per cell]
S (0.500, 0.500, 0.500) [1 per cell]
I (0.000, 0.000, 0.500) [1 per cell]

# 2
Crystalline ZrCr2As at its relaxed geometry, computed with PBE-GGA.

Values from the calculation:
The value obtained for the volume is 18.0 Å³ per atom. The calculated formation energy is 1.4 eV per formula unit.

Unit cell a=7.293 b=7.293 c=5.422 alpha=90.00 beta=90.00 gamma=90.00
Space group I-42d (No. 122)
Symmetry-distinct sites (fractional):
Zr (0.000, 0.000, 0.000) [4 per cell]
Cr (0.195, 0.250, 0.625) [8 per cell]
As (0.000, 0.000, 0.500) [4 per cell]

Magnetic moment, record by record: 0.00, 20.07 μB/cell